The following is a DFT calculation (meta-GGA SCAN) of a PBEsol-optimized structure of TaInCu2.

The structure in POSCAR format:
```
TaInCu2
1.0
3.994 0.000 0.000
0.000 3.994 0.000
-1.997 -1.997 3.867
Cu In Ta
2 1 1
Cartesian
0.000 0.000 0.000
1.997 0.000 1.934
1.997 1.997 0.000
0.000 1.997 1.934
```

## Properties
Space-group type = No. 119
Total magnetization = 0.0 μB/cell
Calculated total energy = -32.197 eV per atom
Energy of formation = 0.395 eV/atom